Entry 1:
## Pr3Sm (meta-GGA SCAN)

Data for Pr3Sm at its PBEsol-relaxed geometry.

* formation energy from the elements: 4 kJ/mol of formula units
* M_tot: 0.0 μB/cell
* mass density: 7.15 g/cm3
* total energy: -43.5933 eV/atom

Lattice parameters (Å, degrees): 6.251 6.251 6.251 131.79 131.79 70.56
Element x y z (fractional)
Pr 0.000 0.000 0.000
Pr 0.250 0.750 0.500
Pr 0.750 0.250 0.500
Sm 0.500 0.500 0.000

=====

Entry 2:
## BeZnAsBr2 (meta-GGA SCAN)

Data for BeZnAsBr2 at its PBEsol-relaxed geometry.

* M_tot: 0.0 μB/cell
* mass density: 4.96 g/cm3
* ΔE_f (raw): 0.278 eV per atom
* total energy: -15.1178 eV/atom

Lattice parameters (Å, degrees): 4.668 4.668 4.750 90.00 90.00 90.00
Element x y z (fractional)
Be 0.000 0.000 0.000
Zn 0.500 0.500 0.500
As 0.000 0.000 0.500
Br 0.000 0.500 0.000
Br 0.500 0.000 0.000

=====

Entry 3:
## SmAl20Cr2 (meta-GGA SCAN)

Data for SmAl20Cr2 at its PBEsol-relaxed geometry.

* formation energy from the elements: -415 kJ/mol of formula units
* M_tot: 7.7 μB/cell
* mass density: 3.58 g/cm3
* total energy: -10.4589 eV/atom

Lattice parameters (Å, degrees): 10.140 10.140 10.140 60.00 60.00 60.00
Element x y z (fractional)
Sm 0.125 0.125 0.125
Sm 0.875 0.875 0.875
Al 0.000 0.000 0.000
Al 0.000 0.000 0.500
Al 0.000 0.500 0.000
Al 0.057 0.327 0.327
Al 0.057 0.327 0.789
Al 0.057 0.789 0.327
Al 0.211 0.673 0.673
Al 0.211 0.673 0.943
Al 0.211 0.943 0.673
Al 0.238 0.238 0.512
Al 0.238 0.512 0.238
Al 0.238 0.512 0.512
Al 0.327 0.057 0.327
Al 0.327 0.057 0.789
Al 0.327 0.327 0.057
Al 0.327 0.327 0.789
Al 0.327 0.789 0.057
Al 0.327 0.789 0.327
Al 0.488 0.488 0.762
Al 0.488 0.762 0.488
Al 0.488 0.762 0.762
Al 0.500 0.000 0.000
Al 0.512 0.238 0.238
Al 0.512 0.238 0.512
Al 0.512 0.512 0.238
Al 0.673 0.211 0.673
Al 0.673 0.211 0.943
Al 0.673 0.673 0.211
Al 0.673 0.673 0.943
Al 0.673 0.943 0.211
Al 0.673 0.943 0.673
Al 0.762 0.488 0.488
Al 0.762 0.488 0.762
Al 0.762 0.762 0.488
Al 0.789 0.057 0.327
Al 0.789 0.327 0.057
Al 0.789 0.327 0.327
Al 0.943 0.211 0.673
Al 0.943 0.673 0.211
Al 0.943 0.673 0.673
Cr 0.000 0.500 0.500
Cr 0.500 0.000 0.500
Cr 0.500 0.500 0.000
Cr 0.500 0.500 0.500

=====

Entry 4:
## SrYMn3 (meta-GGA SCAN)

Data for SrYMn3 at its PBEsol-relaxed geometry.

* formation energy from the elements: 380 kJ/mol of formula units
* M_tot: 11.7 μB/cell
* mass density: 4.33 g/cm3
* total energy: -20.1900 eV/atom

Lattice parameters (Å, degrees): 5.077 5.077 5.077 90.00 90.00 90.00
Element x y z (fractional)
Sr 0.000 0.000 0.000
Y 0.500 0.500 0.500
Mn 0.000 0.500 0.500
Mn 0.500 0.000 0.500
Mn 0.500 0.500 0.000

=====

Entry 5:
## CaSb2Se (meta-GGA SCAN)

Data for CaSb2Se at its PBEsol-relaxed geometry.

* M_tot: 0.0 μB/cell
* mass density: 5.59 g/cm3
* ΔE_f (raw): -0.513 eV per atom
* total energy: -26.5789 eV/atom

Lattice parameters (Å, degrees): 4.534 4.161 5.928 90.00 105.51 90.00
Element x y z (fractional)
Ca 0.000 0.000 0.000
Sb 0.429 0.500 0.749
Sb 0.571 0.500 0.251
Se 0.000 0.000 0.500

=====

Entry 6:
## TlW (meta-GGA SCAN)

Data for TlW at its PBEsol-relaxed geometry.

* formation energy from the elements: 202 kJ/mol of formula units
* M_tot: 0.0 μB/cell
* mass density: 15.36 g/cm3
* total energy: -69.9778 eV/atom

Lattice parameters (Å, degrees): 5.560 5.560 5.560 46.97 46.97 46.97
Element x y z (fractional)
Tl 0.112 0.112 0.112
Tl 0.888 0.888 0.888
W 0.325 0.325 0.325
W 0.675 0.675 0.675

=====

Entry 7:
## MnRu2 (meta-GGA SCAN)

Data for MnRu2 at its PBEsol-relaxed geometry.

* formation energy from the elements: 2 kJ/mol of formula units
* M_tot: 4.2 μB/cell
* mass density: 11.32 g/cm3
* total energy: -29.2940 eV/atom

Lattice parameters (Å, degrees): 5.852 5.852 3.696 90.00 90.00 143.43
Element x y z (fractional)
Mn 0.083 0.917 0.750
Mn 0.917 0.083 0.250
Ru 0.249 0.751 0.250
Ru 0.418 0.582 0.750
Ru 0.582 0.418 0.250
Ru 0.751 0.249 0.750

=====

Entry 8:
## La3B2N5 (meta-GGA SCAN)

Data for La3B2N5 at its PBEsol-relaxed geometry.

* M_tot: 0.0 μB/cell
* mass density: 6.35 g/cm3
* ΔE_f (raw): -1.649 eV per atom
* total energy: -20.7124 eV/atom

Lattice parameters (Å, degrees): 9.598 14.645 7.571 90.00 90.03 90.00
Element x y z (fractional)
La 0.005 0.111 0.377
La 0.005 0.389 0.877
La 0.011 0.112 0.870
La 0.011 0.388 0.370
La 0.301 0.193 0.622
La 0.301 0.307 0.122
La 0.319 0.534 0.363
La 0.319 0.966 0.863
La 0.325 0.529 0.883
La 0.325 0.971 0.383
La 0.326 0.747 0.624
La 0.326 0.753 0.124
La 0.674 0.247 0.876
La 0.674 0.253 0.376
La 0.675 0.029 0.617
La 0.675 0.471 0.117
La 0.681 0.034 0.137
La 0.681 0.466 0.637
La 0.699 0.693 0.878
La 0.699 0.807 0.378
La 0.989 0.612 0.630
La 0.989 0.888 0.130
La 0.995 0.611 0.123
La 0.995 0.889 0.623
B 0.094 0.749 0.876
B 0.094 0.751 0.376
B 0.228 0.107 0.124
B 0.228 0.393 0.624
B 0.440 0.143 0.965
B 0.440 0.147 0.280
B 0.440 0.353 0.780
B 0.440 0.357 0.465
B 0.560 0.643 0.535
B 0.560 0.647 0.220
B 0.560 0.853 0.720
B 0.560 0.857 0.035
B 0.772 0.607 0.376
B 0.772 0.893 0.876
B 0.906 0.249 0.624
B 0.906 0.251 0.124
N 0.057 0.237 0.622
N 0.057 0.263 0.122
N 0.137 0.029 0.124
N 0.137 0.471 0.624
N 0.157 0.022 0.631
N 0.157 0.478 0.131
N 0.163 0.661 0.378
N 0.163 0.839 0.878
N 0.184 0.667 0.873
N 0.184 0.833 0.373
N 0.286 0.140 0.953
N 0.286 0.142 0.293
N 0.286 0.358 0.793
N 0.286 0.360 0.453
N 0.473 0.609 0.087
N 0.473 0.891 0.587
N 0.474 0.601 0.664
N 0.474 0.899 0.164
N 0.492 0.687 0.379
N 0.492 0.813 0.879
N 0.508 0.187 0.121
N 0.508 0.313 0.621
N 0.526 0.101 0.836
N 0.526 0.399 0.336
N 0.527 0.109 0.413
N 0.527 0.391 0.913
N 0.714 0.640 0.547
N 0.714 0.642 0.207
N 0.714 0.858 0.707
N 0.714 0.860 0.047
N 0.816 0.167 0.627
N 0.816 0.333 0.127
N 0.837 0.161 0.122
N 0.837 0.339 0.622
N 0.843 0.522 0.869
N 0.843 0.978 0.369
N 0.863 0.529 0.376
N 0.863 0.971 0.876
N 0.943 0.737 0.878
N 0.943 0.763 0.378

=====

Entry 9:
## KLi3Zr2Si12O30 (meta-GGA SCAN)

Data for KLi3Zr2Si12O30 at its PBEsol-relaxed geometry.

* M_tot: 0.0 μB/cell
* mass density: 2.73 g/cm3
* ΔE_f (raw): -3.092 eV per atom
* total energy: -11.0923 eV/atom

Lattice parameters (Å, degrees): 10.175 10.175 14.362 90.00 90.00 120.00
Element x y z (fractional)
K 0.000 0.000 0.250
K 0.000 0.000 0.750
Li 0.000 0.500 0.250
Li 0.000 0.500 0.750
Li 0.500 0.000 0.250
Li 0.500 0.000 0.750
Li 0.500 0.500 0.250
Li 0.500 0.500 0.750
Zr 0.333 0.667 0.250
Zr 0.333 0.667 0.750
Zr 0.667 0.333 0.250
Zr 0.667 0.333 0.750
Si 0.112 0.352 0.110
Si 0.112 0.352 0.890
Si 0.112 0.760 0.390
Si 0.112 0.760 0.610
Si 0.240 0.352 0.390
Si 0.240 0.352 0.610
Si 0.240 0.888 0.110
Si 0.240 0.888 0.890
Si 0.352 0.112 0.390
Si 0.352 0.112 0.610
Si 0.352 0.240 0.110
Si 0.352 0.240 0.890
Si 0.648 0.760 0.110
Si 0.648 0.760 0.890
Si 0.648 0.888 0.390
Si 0.648 0.888 0.610
Si 0.760 0.112 0.110
Si 0.760 0.112 0.890
Si 0.760 0.648 0.390
Si 0.760 0.648 0.610
Si 0.888 0.240 0.390
Si 0.888 0.240 0.610
Si 0.888 0.648 0.110
Si 0.888 0.648 0.890
O 0.060 0.278 0.364
O 0.060 0.278 0.636
O 0.060 0.782 0.136
O 0.060 0.782 0.864
O 0.124 0.391 0.000
O 0.124 0.733 0.500
O 0.157 0.500 0.172
O 0.157 0.500 0.828
O 0.157 0.657 0.328
O 0.157 0.657 0.672
O 0.218 0.278 0.136
O 0.218 0.278 0.864
O 0.218 0.940 0.364
O 0.218 0.940 0.636
O 0.267 0.391 0.500
O 0.267 0.876 0.000
O 0.278 0.060 0.136
O 0.278 0.060 0.864
O 0.278 0.218 0.364
O 0.278 0.218 0.636
O 0.343 0.500 0.328
O 0.343 0.500 0.672
O 0.343 0.843 0.172
O 0.343 0.843 0.828
O 0.391 0.124 0.500
O 0.391 0.267 0.000
O 0.500 0.157 0.328
O 0.500 0.157 0.672
O 0.500 0.343 0.172
O 0.500 0.343 0.828
O 0.500 0.657 0.172
O 0.500 0.657 0.828
O 0.500 0.843 0.328
O 0.500 0.843 0.672
O 0.609 0.733 0.000
O 0.609 0.876 0.500
O 0.657 0.157 0.172
O 0.657 0.157 0.828
O 0.657 0.500 0.328
O 0.657 0.500 0.672
O 0.722 0.782 0.364
O 0.722 0.782 0.636
O 0.722 0.940 0.136
O 0.722 0.940 0.864
O 0.733 0.124 0.000
O 0.733 0.609 0.500
O 0.782 0.060 0.364
O 0.782 0.060 0.636
O 0.782 0.722 0.136
O 0.782 0.722 0.864
O 0.843 0.343 0.328
O 0.843 0.343 0.672
O 0.843 0.500 0.172
O 0.843 0.500 0.828
O 0.876 0.267 0.500
O 0.876 0.609 0.000
O 0.940 0.218 0.136
O 0.940 0.218 0.864
O 0.940 0.722 0.364
O 0.940 0.722 0.636

=====

Entry 10:
## NbRuRhCl2 (meta-GGA SCAN)

Data for NbRuRhCl2 at its PBEsol-relaxed geometry.

* M_tot: 3.3 μB/cell
* mass density: 5.86 g/cm3
* ΔE_f (raw): 0.801 eV per atom
* total energy: -22.7354 eV/atom

Lattice parameters (Å, degrees): 4.611 4.611 4.901 90.00 90.00 90.00
Element x y z (fractional)
Nb 0.000 0.000 0.000
Ru 0.500 0.500 0.500
Rh 0.000 0.000 0.500
Cl 0.000 0.500 0.000
Cl 0.500 0.000 0.000

=====

Entry 11:
## LiZr3I (meta-GGA SCAN)

Data for LiZr3I at its PBEsol-relaxed geometry.

* M_tot: 0.0 μB/cell
* mass density: 4.69 g/cm3
* ΔE_f (raw): 0.909 eV per atom
* total energy: -25.3368 eV/atom

Lattice parameters (Å, degrees): 5.243 5.243 5.243 90.00 90.00 90.00
Element x y z (fractional)
Li 0.000 0.000 0.000
Zr 0.000 0.500 0.500
Zr 0.500 0.000 0.500
Zr 0.500 0.500 0.000
I 0.500 0.500 0.500

=====

Entry 12:
## MgReSi2 (meta-GGA SCAN)

Data for MgReSi2 at its PBEsol-relaxed geometry.

* M_tot: 0.3 μB/cell
* mass density: 7.12 g/cm3
* ΔE_f (raw): -0.017 eV per atom
* total energy: -24.0423 eV/atom

Lattice parameters (Å, degrees): 4.349 4.349 5.127 99.62 99.62 40.65
Element x y z (fractional)
Mg 0.000 0.000 0.000
Re 0.500 0.500 0.500
Si 0.235 0.235 0.687
Si 0.765 0.765 0.313